# Sr2GdCoCu2O7 GGA-PBEsol optimized geometry
data_Sr2GdCoCu2O7
_chemical_formula_sum 'Sr8 Gd4 Co4 Cu8 O28'
_cell_length_a 22.5758
_cell_length_b 5.4393
_cell_length_c 5.3969
_cell_angle_alpha 90.00
_cell_angle_beta 90.00
_cell_angle_gamma 90.00
_symmetry_space_group_name_H-M 'I m a 2'
_symmetry_Int_Tables_number 46
_symmetry_space_group_name_Hall 'I 2 -2a'
loop_
_atom_site_label
_atom_site_type_symbol
_atom_site_fract_x
_atom_site_fract_y
_atom_site_fract_z
_atom_site_occupancy
Sr1 Sr 0.1507 0.0086 0.0000 1
Gd1 Gd 0.0000 0.0000 0.0005 1
Co1 Co 0.2500 0.5636 0.9663 1
Cu1 Cu 0.0715 0.9997 0.5012 1
O1 O 0.0644 0.2479 0.2493 1
O2 O 0.0667 0.7494 0.2518 1
O3 O 0.1750 0.0294 0.5152 1
O4 O 0.2500 0.6198 0.6154 1
# - formation energy without anion corrections (eV per atom) = -1.93
# - magnetization (μB/f.u.) = 3.26